[1]
# AlPN2F

A relaxed structure of AlPN2F (PBE, the Alexandria database).

Results
- SG: P4/mmm
- Raw formation energy: 0.20 eV/atom
- Relative energy among the computed polymorphs: 118 meV/atom

abc: 3.631 3.631 3.585
angles: 90.00 90.00 90.00
Positions (direct):
P1 0.000 0.000 0.000
N1 0.000 0.500 0.000
N2 0.500 0.000 0.000
Al1 0.500 0.500 0.500
F1 0.000 0.000 0.500

---

[2]
# Dy4CdAu

A relaxed structure of Dy4CdAu (PBE, the Alexandria database).

Results
- SG: F-43m
- Relative energy among the computed polymorphs: 0 meV/atom
- Energy relative to the elements: -0.42 eV/atom

abc: 9.778 9.778 9.778
angles: 60.00 60.00 60.00
Positions (direct):
Dy1 0.391 0.391 0.391
Dy2 0.826 0.391 0.391
Dy3 0.391 0.826 0.391
Dy4 0.391 0.391 0.826
Dy5 0.561 0.561 0.939
Dy6 0.939 0.939 0.561
Dy7 0.561 0.939 0.561
Dy8 0.939 0.561 0.939
Dy9 0.939 0.561 0.561
Dy10 0.561 0.939 0.939
Dy11 0.184 0.184 0.816
Dy12 0.816 0.816 0.184
Dy13 0.184 0.816 0.184
Dy14 0.816 0.184 0.816
Dy15 0.816 0.184 0.184
Dy16 0.184 0.816 0.816
Cd1 0.167 0.167 0.167
Cd2 0.498 0.167 0.167
Cd3 0.167 0.498 0.167
Cd4 0.167 0.167 0.498
Au1 0.604 0.604 0.604
Au2 0.189 0.604 0.604
Au3 0.604 0.189 0.604
Au4 0.604 0.604 0.189

---

[3]
# CoBiCl2

A relaxed structure of CoBiCl2 (PBE, the Alexandria database).

Results
- SG: R-3m
- Raw formation energy: -0.27 eV/atom
- Relative energy among the computed polymorphs: 0 meV/atom

abc: 9.227 9.227 9.227
angles: 21.69 21.69 21.69
Each line ends with the local moment (μB).
Positions (direct):
Co1 0.500 0.500 0.500  2.17
Bi1 0.000 0.000 0.000  -0.05
Cl1 0.884 0.884 0.884  0.10
Cl2 0.116 0.116 0.116  0.10

---

[4]
# HgBiOsPd2

A relaxed structure of HgBiOsPd2 (PBE, the Alexandria database).

Results
- SG: P4/mmm
- Energy relative to the elements: 0.96 eV/atom

abc: 4.969 4.969 5.121
angles: 90.00 90.00 90.00
Positions (direct):
Os1 0.000 0.000 0.000
Bi1 0.000 0.000 0.500
Pd1 0.000 0.500 0.000
Pd2 0.500 0.000 0.000
Hg1 0.500 0.500 0.500